La4Pm2NdTm: relaxed, PBE.

Cell lengths 6.072, 6.071, 7.659 Å; angles 90.00, 90.01, 90.00 degrees
Positions (direct):
La: 0.001 0.000 0.242
La: 0.499 0.500 0.240
La: 0.501 0.500 0.760
La: 0.999 0.000 0.758
Pm: 0.000 0.500 0.000
Pm: 0.500 0.000 0.500
Nd: 0.000 0.500 0.500
Tm: 0.500 0.000 0.000

size of the total moment: 0.0 μB per cell
ΔH_f (0 K): 0.09 eV/atom


La2Pm4Pr5: relaxed, PBE.

Cell lengths 9.312, 9.312, 11.998 Å; angles 94.08, 94.08, 22.41 degrees
Positions (direct):
La: 0.217 0.217 0.357
La: 0.783 0.783 0.643
Pm: 0.140 0.140 0.800
Pm: 0.467 0.467 0.740
Pm: 0.533 0.533 0.260
Pm: 0.860 0.860 0.200
Pr: 0.000 0.000 0.000
Pr: 0.324 0.324 0.928
Pr: 0.405 0.405 0.462
Pr: 0.595 0.595 0.538
Pr: 0.676 0.676 0.072

size of the total moment: 0.0 μB per cell
excess energy over the best structure of this formula in the dataset: 0.000 eV per atom
ΔH_f (0 K): 0.06 eV/atom


As2IrRu2: relaxed, PBE.

Cell lengths 7.114, 7.114, 2.917 Å; angles 90.00, 90.00, 90.00 degrees
Positions (direct):
As: 0.155 0.345 0.000
As: 0.345 0.845 0.000
As: 0.655 0.155 0.000
As: 0.845 0.655 0.000
Ir: 0.000 0.000 0.000
Ir: 0.500 0.500 0.000
Ru: 0.145 0.645 0.500
Ru: 0.355 0.145 0.500
Ru: 0.645 0.855 0.500
Ru: 0.855 0.355 0.500

size of the total moment: 0.0 μB per cell
excess energy over the best structure of this formula in the dataset: 0.000 eV per atom
ΔH_f (0 K): 0.15 eV/atom